# 1
Here is a relaxed structure of Co5Ni12Pt2 from the Alexandria database. Energies are from PBE-GGA.

formation energy from the elements = 0.0937 eV/atom
magnetic moment = 17.45 μB per formula unit
DFT total energy = -6.0635 eV/atom

Cell: 12.5351 7.9352 4.5893 Å, 90.00 103.47 90.00°
Space group C2/m (No. 12)
Unique sites:
Co: 0.0000 0.0000 0.0000 [2 per cell]
Co: 0.1463 0.5000 0.3373 [4 per cell]
Co: 0.2181 0.0000 0.9636 [4 per cell]
Ni: 0.0570 0.5000 0.7783 [4 per cell]
Ni: 0.1034 0.2464 0.0758 [8 per cell]
Ni: 0.1591 0.0000 0.4247 [4 per cell]
Ni: 0.2048 0.2754 0.6997 [8 per cell]
Pt: 0.0000 0.1977 0.5000 [4 per cell]

# 2
Here is a relaxed structure of CaDy2Ti from the Alexandria database. Energies are from PBE-GGA.

formation energy from the elements = 0.2459 eV/atom
distance to the lowest polymorph of the same formula = 74 meV/atom
magnetic moment = 0.00 μB per formula unit
DFT total energy = -4.5292 eV/atom

Cell: 3.4435 3.4435 34.0831 Å, 90.00 90.00 120.00°
Space group R-3m (No. 166, hexagonal axes)
Unique sites:
Ca: 0.0000 0.0000 0.0000 [3 per cell]
Dy: 0.0000 0.0000 0.2382 [6 per cell]
Ti: 0.0000 0.0000 0.5000 [3 per cell]

# 3
Here is a relaxed structure of Th2TeH2 from the Alexandria database. Energies are from PBE-GGA.

magnetic moment = 0.00 μB per formula unit
DFT total energy = -5.5223 eV/atom

Cell: 4.0529 4.3914 11.8158 Å, 90.00 90.00 90.00°
Space group Amm2 (No. 38)
Unique sites:
Th: 0.0000 0.0000 0.0000 [2 per cell]
Th: 0.5000 0.0000 0.2944 [2 per cell]
Te: 0.5000 0.0000 0.5905 [2 per cell]
H: 0.0000 0.0000 0.1951 [2 per cell]
H: 0.5000 0.0000 0.8829 [2 per cell]

# 4
Here is a relaxed structure of ScCl2 from the Alexandria database. Energies are from PBE-GGA.

magnetic moment = 0.00 μB per formula unit
formation energy from raw total energies = -1792.1 meV/atom
DFT total energy = -5.1337 eV/atom

Cell: 3.6229 16.7071 5.2184 Å, 90.00 90.00 90.00°
Space group Cmcm (No. 63)
Unique sites:
Sc: 0.0000 0.1982 0.2500 [4 per cell]
Cl: 0.0000 0.1881 0.7500 [4 per cell]
Cl: 0.0000 0.4056 0.7500 [4 per cell]

# 5
Here is a relaxed structure of Hf2Ti3In3 from the Alexandria database. Energies are from PBE-GGA.

formation energy from the elements = 0.0453 eV/atom
distance to the lowest polymorph of the same formula = 173 meV/atom
magnetic moment = 0.75 μB per formula unit
DFT total energy = -6.4305 eV/atom

Cell: 4.9419 4.9799 13.2375 Å, 90.00 90.00 90.00°
Space group Immm (No. 71)
Unique sites:
Hf: 0.0000 0.0000 0.2463 [4 per cell]
Ti: 0.0000 0.0000 0.0000 [2 per cell]
Ti: 0.0000 0.5000 0.3888 [4 per cell]
In: 0.0000 0.0000 0.5000 [2 per cell]
In: 0.0000 0.5000 0.1282 [4 per cell]

# 6
Here is a relaxed structure of BaSrSe2 from the Alexandria database. Energies are from PBE-GGA.

distance to the lowest polymorph of the same formula = 25 meV/atom
magnetic moment = 0.00 μB per formula unit
formation energy from raw total energies = -2025.1 meV/atom
DFT total energy = -4.6685 eV/atom

Cell: 4.5292 4.5292 15.3241 Å, 90.00 90.00 120.00°
Space group P6_3/mmc (No. 194)
Unique sites:
Ba: 0.3333 0.6667 0.2500 [2 per cell]
Sr: 0.0000 0.0000 0.0000 [2 per cell]
Se: 0.3333 0.6667 0.6169 [4 per cell]

> The highest DFT total energy belongs to which entry?

CaDy2Ti